No. 1
VASP calculation (PBE-GGA) on a relaxed YbMo6S8 crystal.

Computed properties:
DOS(E_F) = 23.2 states/eV/f.u.
Spin magnetization = 0.398 μB per formula unit
Uncorrected formation energy = -0.8872 eV/atom
ΔE to the lowest computed polymorph = 0.000 eV/atom
E = -7.52 eV per atom

The structure in POSCAR format:
```
YbMo6S8
1.0
4.5968 2.6539 3.8053
-4.5968 2.6539 3.8053
0.0000 -5.3079 3.8053
Yb Mo S
1 6 8
Cartesian
0.0000 0.0000 0.0000
-0.8959 -1.2652 4.5758
-0.6477 1.4085 4.5758
-1.5437 0.1433 6.8401
1.5437 -0.1433 4.5758
0.6477 -1.4085 6.8401
0.8960 1.2652 6.8401
-2.8460 0.3340 4.7556
0.0000 0.0000 2.7291
-1.7123 -2.2977 6.6604
1.1337 -2.6318 4.7556
-1.1337 2.6318 6.6604
1.7123 2.2977 4.7556
0.0000 0.0000 8.6868
2.8460 -0.3340 6.6604
```

***

No. 2
VASP calculation (PBE-GGA) on a relaxed Hf2TlSb2 crystal.

Computed properties:
DOS(E_F) = 2.4 states/eV/f.u.
Spin magnetization = 0.000 μB per formula unit
Uncorrected formation energy = -0.2680 eV/atom
ΔE to the lowest computed polymorph = 0.000 eV/atom
E = -6.37 eV per atom

The structure in POSCAR format:
```
Hf2TlSb2
1.0
7.9374 0.0000 0.0000
0.0000 7.9374 0.0000
0.0000 0.0000 3.8120
Hf Tl Sb
4 2 4
Cartesian
1.1353 2.8334 0.0000
2.8334 6.8021 0.0000
5.1039 1.1353 0.0000
6.8021 5.1039 0.0000
0.0000 0.0000 0.0000
3.9687 3.9687 0.0000
1.1966 5.1653 1.9060
2.7721 1.1966 1.9060
5.1653 6.7408 1.9060
6.7408 2.7721 1.9060
```

***

No. 3
VASP calculation (PBE-GGA) on a relaxed K2FeIrBr crystal.

Computed properties:
DOS(E_F) = 15.3 states/eV/f.u.
Spin magnetization = 3.390 μB per formula unit
Uncorrected formation energy = 0.8945 eV/atom
E = -3.34 eV per atom

The structure in POSCAR format:
```
K2FeIrBr
1.0
6.4473 0.0000 0.0000
0.0000 6.4473 0.0000
0.0000 0.0000 4.6614
K Fe Ir Br
2 1 1 1
Cartesian
0.0000 3.2236 0.0000
3.2236 0.0000 0.0000
0.0000 0.0000 2.3307
3.2236 3.2236 0.0000
3.2236 3.2236 2.3307
```

***

No. 4
VASP calculation (PBE-GGA) on a relaxed LuTe2Pb crystal.

Computed properties:
DOS(E_F) = 1.8 states/eV/f.u.
Spin magnetization = 0.000 μB per formula unit
Uncorrected formation energy = -0.7540 eV/atom
E = -4.38 eV per atom

The structure in POSCAR format:
```
LuTe2Pb
1.0
2.0588 1.1887 9.9934
-2.0588 1.1887 9.9934
0.0000 -2.3773 9.9934
Lu Te Pb
1 2 1
Cartesian
0.0000 0.0000 0.0000
0.0000 0.0000 11.8042
0.0000 0.0000 18.1761
0.0000 0.0000 14.9901
```

***

No. 5
VASP calculation (PBE-GGA) on a relaxed Nd6Tl3Zn crystal.

Computed properties:
DOS(E_F) = 11.3 states/eV/f.u.
Spin magnetization = 0.000 μB per formula unit
ΔE to the lowest computed polymorph = 0.079 eV/atom
E = -3.89 eV per atom
E_form = -192 meV per atom

The structure in POSCAR format:
```
Nd6Tl3Zn
1.0
11.7325 0.0000 0.0000
0.0000 3.8018 0.0000
-4.5851 0.0000 14.1168
Nd Tl Zn
12 6 2
Cartesian
-0.7831 0.9505 2.4368
-0.7495 2.8514 5.8550
-0.8219 0.9505 11.8671
2.5851 0.9505 3.6605
1.4045 0.9505 8.8415
4.3777 2.8514 0.7805
2.7697 0.9505 13.3363
5.7429 2.8514 5.2753
4.5623 2.8514 10.4564
7.9693 2.8514 2.2497
7.8969 0.9505 8.2618
7.9305 2.8514 11.6800
-1.3814 2.8514 9.1336
1.6342 0.9505 0.3031
2.4865 2.8514 6.3348
4.6609 0.9505 7.7820
5.5132 2.8514 13.8137
8.5288 0.9505 4.9832
1.5664 2.8514 11.3253
5.5810 0.9505 2.7916
```

***

No. 6
VASP calculation (PBE-GGA) on a relaxed Sm4Cd5Co2 crystal.

Computed properties:
DOS(E_F) = 7.3 states/eV/f.u.
Spin magnetization = 0.000 μB per formula unit
E = -3.67 eV per atom
E_form = -242 meV per atom

The structure in POSCAR format:
```
Sm4Cd5Co2
1.0
7.7135 0.0000 0.0000
0.0000 3.6597 0.0000
-0.7404 0.0000 9.4516
Sm Cd Co
4 5 2
Cartesian
1.0497 0.0000 3.2126
0.9516 0.0000 8.9278
6.0216 0.0000 0.5238
5.9235 0.0000 6.2390
0.9152 1.8299 6.1469
3.3434 1.8299 1.6418
3.4866 1.8299 4.7258
3.6298 1.8299 7.8098
6.0580 1.8299 3.3047
0.4372 1.8299 1.2669
6.5359 1.8299 8.1847
```

***

No. 7
VASP calculation (PBE-GGA) on a relaxed Ca3GeW crystal.

Computed properties:
DOS(E_F) = 4.4 states/eV/f.u.
Spin magnetization = 0.000 μB per formula unit
ΔE to the lowest computed polymorph = 0.215 eV/atom
E = -3.61 eV per atom
E_form = 1102 meV per atom

The structure in POSCAR format:
```
Ca3GeW
1.0
5.4806 0.0000 0.0000
0.0000 5.4806 0.0000
0.0000 0.0000 5.4806
Ca Ge W
3 1 1
Cartesian
0.0000 0.0000 2.7403
0.0000 2.7403 0.0000
2.7403 0.0000 0.0000
2.7403 2.7403 2.7403
0.0000 0.0000 0.0000
```

***

No. 8
VASP calculation (PBE-GGA) on a relaxed Li2Zn3Au4 crystal.

Computed properties:
DOS(E_F) = 2.6 states/eV/f.u.
Spin magnetization = 0.000 μB per formula unit
ΔE to the lowest computed polymorph = 0.000 eV/atom
E = -2.68 eV per atom
E_form = -374 meV per atom

The structure in POSCAR format:
```
Li2Zn3Au4
1.0
4.0860 0.0000 0.0000
2.0207 4.2373 0.0000
0.1152 1.9677 8.1917
Li Zn Au
2 3 4
Cartesian
1.0372 1.0281 1.7920
5.1847 5.1769 6.3997
1.0786 1.8855 4.5712
3.0534 2.1187 0.0000
5.1433 4.3195 3.6205
1.1201 2.5164 7.2686
3.1424 3.6536 5.4632
3.0796 2.5514 2.7285
5.1018 3.6886 0.9231
```

***

No. 9
VASP calculation (PBE-GGA) on a relaxed PbW3 crystal.

Computed properties:
DOS(E_F) = 2.8 states/eV/f.u.
Spin magnetization = 0.000 μB per formula unit
ΔE to the lowest computed polymorph = 0.117 eV/atom
E = -9.84 eV per atom
E_form = 806 meV per atom

The structure in POSCAR format:
```
PbW3
1.0
4.8052 -1.5928 0.0000
4.8052 1.5928 0.0000
-1.2778 0.0000 4.7242
Pb W
1 3
Cartesian
0.0000 0.0000 0.0000
1.3324 0.0000 3.3975
4.1663 0.0000 2.3621
7.0001 0.0000 1.3267
```

***

No. 10
VASP calculation (PBE-GGA) on a relaxed Zr12Ni5Mo3 crystal.

Computed properties:
DOS(E_F) = 20.4 states/eV/f.u.
Spin magnetization = 0.000 μB per formula unit
E = -7.80 eV per atom
E_form = 400 meV per atom

The structure in POSCAR format:
```
Zr12Ni5Mo3
1.0
-7.6674 7.6674 7.6674
7.6674 -7.6674 7.6674
7.6674 7.6674 -7.6674
Zr Ni Mo
48 20 12
Cartesian
2.3004 -0.3390 1.0662
9.2007 4.8999 -4.1727
7.3284 -1.0662 2.3004
11.8401 -1.5333 2.7675
9.9679 0.3390 1.0662
9.2007 -2.7675 4.1727
1.0662 2.3004 -0.3390
10.4349 3.4947 -1.5333
4.8999 4.1727 -1.5333
6.6012 2.3004 0.3390
-0.3390 1.0662 2.3004
4.1727 -1.5333 4.8999
7.3284 6.6012 -2.3004
4.1727 1.5333 2.7675
6.6012 -2.3004 7.3284
4.8999 -4.1727 9.2007
2.7675 4.1727 1.5333
8.7336 5.3670 0.3390
2.3004 7.3284 -1.0662
9.2007 2.7675 3.4947
4.1727 9.2007 -2.7675
7.3284 1.0662 5.3670
1.5333 2.7675 4.1727
2.3004 0.3390 6.6012
5.3670 7.3284 1.0662
6.1342 4.8999 3.4947
0.3390 6.6012 2.3004
3.4947 -1.5333 10.4349
-1.5333 4.8999 4.1727
5.3670 0.3390 8.7336
-1.0662 2.3004 7.3284
4.8999 3.4947 6.1342
2.7675 11.8401 -1.5333
1.0662 9.9679 0.3390
3.4947 6.1342 4.8999
0.3390 1.0662 9.9679
3.4947 9.2007 2.7675
8.0064 6.6012 5.3670
1.0662 5.3670 7.3284
2.7675 3.4947 9.2007
-2.7675 4.1727 9.2007
6.6012 5.3670 8.0064
-1.5333 10.4349 3.4947
-2.3004 7.3284 6.6012
-4.1727 9.2007 4.8999
0.3390 8.7336 5.3670
-1.5333 2.7675 11.8401
5.3670 8.0064 6.6012
0.0000 0.0000 0.0000
3.8337 3.8337 -3.8337
3.8337 -3.8337 3.8337
7.6674 0.0000 0.0000
11.5011 1.9169 0.0000
7.6674 -3.8337 5.7506
5.7506 7.6674 -3.8337
5.7506 0.0000 3.8337
3.8337 5.7506 0.0000
7.6674 3.8337 1.9169
-3.8337 3.8337 3.8337
0.0000 7.6674 0.0000
0.0000 0.0000 7.6674
3.8337 3.8337 3.8337
0.0000 3.8337 5.7506
3.8337 1.9169 7.6674
1.9169 7.6674 3.8337
1.9169 0.0000 11.5011
0.0000 11.5011 1.9169
-3.8337 5.7506 7.6674
3.8337 1.9169 0.0000
7.6674 3.8337 -1.9169
1.9169 0.0000 3.8337
9.5843 0.0000 3.8337
0.0000 3.8337 1.9169
3.8337 -1.9169 7.6674
3.8337 9.5843 0.0000
7.6674 3.8337 5.7506
-1.9169 7.6674 3.8337
5.7506 7.6674 3.8337
0.0000 3.8337 9.5843
3.8337 5.7506 7.6674
```

***

No. 11
VASP calculation (PBE-GGA) on a relaxed PrYAs2 crystal.

Computed properties:
DOS(E_F) = 0.3 states/eV/f.u.
Spin magnetization = 0.000 μB per formula unit
ΔE to the lowest computed polymorph = 0.164 eV/atom
E = -6.49 eV per atom
E_form = -1357 meV per atom

The structure in POSCAR format:
```
PrYAs2
1.0
2.0906 1.2070 7.1729
-2.0906 1.2070 7.1729
0.0000 -2.4140 7.1729
Pr Y As
1 1 2
Cartesian
0.0000 0.0000 0.0000
0.0000 0.0000 17.8275
0.0000 0.0000 8.9556
0.0000 0.0000 12.4420
```

***

No. 12
VASP calculation (PBE-GGA) on a relaxed ZnTc2Hg crystal.

Computed properties:
DOS(E_F) = 1.2 states/eV/f.u.
Spin magnetization = 0.000 μB per formula unit
ΔE to the lowest computed polymorph = 0.000 eV/atom
E = -5.45 eV per atom
E_form = 130 meV per atom

The structure in POSCAR format:
```
ZnTc2Hg
1.0
2.9746 0.0000 0.0000
0.0000 2.9746 0.0000
0.0000 0.0000 7.4505
Zn Tc Hg
1 2 1
Cartesian
0.0000 0.0000 0.0000
0.0000 0.0000 4.2534
1.4873 1.4873 5.7169
1.4873 1.4873 2.1035
```

***

Question: Number 8 is which compound?
Answer: Li2Zn3Au4

***

Question: Look up the DOS(E_F) of the ninth one.
Answer: 2.8 states/eV/f.u.